1.
A plane-wave DFT calculation with GGA-PBEsol was carried out for an optimized crystal structure of KAgAu2.

Unit cell a=2.978 b=2.978 c=10.226 alpha=81.63 beta=81.63 gamma=60.00
Atoms (fractional coordinates):
Ag: 0.000 0.000 0.000
Au: 0.257 0.257 0.228
Au: 0.743 0.743 0.772
K: 0.500 0.500 0.500

Properties
The value obtained for the total magnetization is 0.00 Bohr magnetons per cell. As for the space-group type: No. 166. For the polymorph energy (0 for the lowest one), the calculation gives 0.0 meV per atom. As for the formation energy: 62 kJ/mol of formula units. The density comes out at 11603 kg/m3. Its density of states at the Fermi level is 1.620 states/eV per cell.

2.
A plane-wave DFT calculation with GGA-PBEsol was carried out for an optimized crystal structure of ZrW.

Unit cell a=3.072 b=3.072 c=9.388 alpha=80.58 beta=80.58 gamma=60.00
Atoms (fractional coordinates):
W: 0.368 0.368 0.896
W: 0.632 0.632 0.104
Zr: 0.881 0.881 0.356
Zr: 0.119 0.119 0.644

Properties
The value obtained for the total magnetization is 0.00 Bohr magnetons per cell. As for the space-group type: No. 166. As for the formation energy: 66 kJ/mol of formula units. The density comes out at 12128 kg/m3. Its density of states at the Fermi level is 4.050 states/eV per cell.

> Number 2 is which compound?

ZrW